# AcGa12Co4

A geometry-optimized AcGa12Co4 structure (PBE, Alexandria).

```
AcGa12Co4
1.0
-4.541 4.541 4.541
4.541 -4.541 4.541
4.541 4.541 -4.541
Ac Ga Co
1 12 4
Cartesian
0.000 0.000 0.000
4.541 2.129 -2.129
4.541 -2.129 2.129
2.129 4.541 -2.129
2.413 2.413 0.000
2.413 0.000 2.413
2.129 -2.129 4.541
4.541 2.129 2.129
0.000 2.413 2.413
-2.129 4.541 2.129
-2.129 2.129 4.541
2.129 4.541 2.129
2.129 2.129 4.541
2.271 2.271 -2.271
2.271 -2.271 2.271
-2.271 2.271 2.271
2.271 2.271 2.271
```

Computed properties:
The calculation puts the formation energy at -3.32 eV/f.u. The mass density is 5.76 Mg/m³.